(one)
# Nb3SiB (PBE, relaxed)
# Density ... 6.52 g cm⁻³
data_Nb3SiB
_chemical_formula_sum 'Nb3 Si1 B1'
_space_group_name_H-M_alt 'P m -3 m'
_space_group_IT_number 221
_space_group_name_Hall '-P 4 2 3'
_cell_length_a 4.324
_cell_length_b 4.324
_cell_length_c 4.324
_cell_angle_alpha 90.00
_cell_angle_beta 90.00
_cell_angle_gamma 90.00
loop_
_atom_site_label
_atom_site_type_symbol
_atom_site_fract_x
_atom_site_fract_y
_atom_site_fract_z
Nb1 Nb 0.000 0.000 0.500
Si1 Si 0.500 0.500 0.500
B1 B 0.000 0.000 0.000

***

(two)
# Nb3SiB (PBE, relaxed)
# Density ... 6.82 g cm⁻³
data_Nb3SiB
_chemical_formula_sum 'Nb6 Si2 B2'
_space_group_name_H-M_alt 'P 63/m m c'
_space_group_IT_number 194
_space_group_name_Hall '-P 6c 2c'
_cell_length_a 6.0972
_cell_length_b 6.0972
_cell_length_c 4.8064
_cell_angle_alpha 90.00
_cell_angle_beta 90.00
_cell_angle_gamma 120.00
loop_
_atom_site_label
_atom_site_type_symbol
_atom_site_fract_x
_atom_site_fract_y
_atom_site_fract_z
Nb1 Nb 0.1759 0.3517 0.2500
Si1 Si 0.3333 0.6667 0.7500
B1 B 0.0000 0.0000 0.0000

***

What are the relative energies? In meV per atom: (one) 210; (two) 0.

***

(one)
# NbSn3B (PBE, relaxed)
# Density ... 4.93 g cm⁻³
data_NbSn3B
_chemical_formula_sum 'Nb1 Sn3 B1'
_space_group_name_H-M_alt 'P m -3 m'
_space_group_IT_number 221
_space_group_name_Hall '-P 4 2 3'
_cell_length_a 5.371
_cell_length_b 5.371
_cell_length_c 5.371
_cell_angle_alpha 90.00
_cell_angle_beta 90.00
_cell_angle_gamma 90.00
loop_
_atom_site_label
_atom_site_type_symbol
_atom_site_fract_x
_atom_site_fract_y
_atom_site_fract_z
Nb1 Nb 0.000 0.000 0.000
Sn1 Sn 0.000 0.000 0.500
B1 B 0.500 0.500 0.500

***

(two)
# NbSn3B (PBE, relaxed)
# Density ... 7.00 g cm⁻³
data_NbSn3B
_chemical_formula_sum 'Nb1 Sn3 B1'
_space_group_name_H-M_alt 'P m -3 m'
_space_group_IT_number 221
_space_group_name_Hall '-P 4 2 3'
_cell_length_a 4.777
_cell_length_b 4.777
_cell_length_c 4.777
_cell_angle_alpha 90.00
_cell_angle_beta 90.00
_cell_angle_gamma 90.00
loop_
_atom_site_label
_atom_site_type_symbol
_atom_site_fract_x
_atom_site_fract_y
_atom_site_fract_z
Nb1 Nb 0.000 0.000 0.000
Sn1 Sn 0.000 0.500 0.500
B1 B 0.500 0.500 0.500

***

What are the relative energies? In meV per atom: (one) 307; (two) 0.

***

(one)
# NbSnB3 (PBE, relaxed)
# Density ... 4.85 g cm⁻³
data_NbSnB3
_chemical_formula_sum 'Nb1 Sn1 B3'
_space_group_name_H-M_alt 'P m -3 m'
_space_group_IT_number 221
_space_group_name_Hall '-P 4 2 3'
_cell_length_a 4.373
_cell_length_b 4.373
_cell_length_c 4.373
_cell_angle_alpha 90.00
_cell_angle_beta 90.00
_cell_angle_gamma 90.00
loop_
_atom_site_label
_atom_site_type_symbol
_atom_site_fract_x
_atom_site_fract_y
_atom_site_fract_z
Nb1 Nb 0.000 0.000 0.000
Sn1 Sn 0.500 0.500 0.500
B1 B 0.000 0.000 0.500

***

(two)
# NbSnB3 (PBE, relaxed)
# Density ... 5.09 g cm⁻³
data_NbSnB3
_chemical_formula_sum 'Nb1 Sn1 B3'
_space_group_name_H-M_alt 'P m -3 m'
_space_group_IT_number 221
_space_group_name_Hall '-P 4 2 3'
_cell_length_a 4.303
_cell_length_b 4.303
_cell_length_c 4.303
_cell_angle_alpha 90.00
_cell_angle_beta 90.00
_cell_angle_gamma 90.00
loop_
_atom_site_label
_atom_site_type_symbol
_atom_site_fract_x
_atom_site_fract_y
_atom_site_fract_z
Nb1 Nb 0.000 0.000 0.000
Sn1 Sn 0.500 0.500 0.500
B1 B 0.000 0.500 0.500

***

What are the relative energies? In meV per atom: (one) 0; (two) 1017.

***

(one)
# Sr3NbB (PBE, relaxed)
# Density ... 3.14 g cm⁻³
data_Sr3NbB
_chemical_formula_sum 'Sr3 Nb1 B1'
_space_group_name_H-M_alt 'P m -3 m'
_space_group_IT_number 221
_space_group_name_Hall '-P 4 2 3'
_cell_length_a 5.789
_cell_length_b 5.789
_cell_length_c 5.789
_cell_angle_alpha 90.00
_cell_angle_beta 90.00
_cell_angle_gamma 90.00
loop_
_atom_site_label
_atom_site_type_symbol
_atom_site_fract_x
_atom_site_fract_y
_atom_site_fract_z
Sr1 Sr 0.000 0.000 0.500
Nb1 Nb 0.000 0.000 0.000
B1 B 0.500 0.500 0.500

***

(two)
# Sr3NbB (PBE, relaxed)
# Density ... 3.40 g cm⁻³
data_Sr3NbB
_chemical_formula_sum 'Sr3 Nb1 B1'
_space_group_name_H-M_alt 'P m -3 m'
_space_group_IT_number 221
_space_group_name_Hall '-P 4 2 3'
_cell_length_a 5.635
_cell_length_b 5.635
_cell_length_c 5.635
_cell_angle_alpha 90.00
_cell_angle_beta 90.00
_cell_angle_gamma 90.00
loop_
_atom_site_label
_atom_site_type_symbol
_atom_site_fract_x
_atom_site_fract_y
_atom_site_fract_z
Sr1 Sr 0.000 0.000 0.500
Nb1 Nb 0.500 0.500 0.500
B1 B 0.000 0.000 0.000

***

What are the relative energies? In meV per atom: (one) 748; (two) 0.

***

(one)
# SrNbB2 (PBE, relaxed)
# Density ... 3.75 g cm⁻³
data_SrNbB2
_chemical_formula_sum 'Sr4 Nb4 B8'
_space_group_name_H-M_alt 'I -4 2 d'
_space_group_IT_number 122
_space_group_name_Hall 'I -4 2bw'
_cell_length_a 5.224
_cell_length_b 5.224
_cell_length_c 13.136
_cell_angle_alpha 90.00
_cell_angle_beta 90.00
_cell_angle_gamma 90.00
loop_
_atom_site_label
_atom_site_type_symbol
_atom_site_fract_x
_atom_site_fract_y
_atom_site_fract_z
Sr1 Sr 0.000 0.000 0.000
Nb1 Nb 0.000 0.000 0.500
B1 B 0.105 0.250 0.625

***

(two)
# SrNbB2 (PBE, relaxed)
# Density ... 5.41 g cm⁻³
data_SrNbB2
_chemical_formula_sum 'Sr4 Nb4 B8'
_space_group_name_H-M_alt 'F m -3 m'
_space_group_IT_number 225
_space_group_name_Hall '-F 4 2 3'
_cell_length_a 6.283
_cell_length_b 6.283
_cell_length_c 6.283
_cell_angle_alpha 90.00
_cell_angle_beta 90.00
_cell_angle_gamma 90.00
loop_
_atom_site_label
_atom_site_type_symbol
_atom_site_fract_x
_atom_site_fract_y
_atom_site_fract_z
Sr1 Sr 0.000 0.000 0.000
Nb1 Nb 0.000 0.000 0.500
B1 B 0.250 0.250 0.250

***

What are the relative energies? In meV per atom: (one) 0; (two) 343.

***

(one)
# Ta3NbB (PBE, relaxed)
# Density ... 9.47 g cm⁻³
data_Ta3NbB
_chemical_formula_sum 'Ta3 Nb1 B1'
_space_group_name_H-M_alt 'P m -3 m'
_space_group_IT_number 221
_space_group_name_Hall '-P 4 2 3'
_cell_length_a 4.840
_cell_length_b 4.840
_cell_length_c 4.840
_cell_angle_alpha 90.00
_cell_angle_beta 90.00
_cell_angle_gamma 90.00
loop_
_atom_site_label
_atom_site_type_symbol
_atom_site_fract_x
_atom_site_fract_y
_atom_site_fract_z
Ta1 Ta 0.000 0.000 0.500
Nb1 Nb 0.000 0.000 0.000
B1 B 0.500 0.500 0.500

***

(two)
# Ta3NbB (PBE, relaxed)
# Density ... 12.64 g cm⁻³
data_Ta3NbB
_chemical_formula_sum 'Ta3 Nb1 B1'
_space_group_name_H-M_alt 'P m -3 m'
_space_group_IT_number 221
_space_group_name_Hall '-P 4 2 3'
_cell_length_a 4.396
_cell_length_b 4.396
_cell_length_c 4.396
_cell_angle_alpha 90.00
_cell_angle_beta 90.00
_cell_angle_gamma 90.00
loop_
_atom_site_label
_atom_site_type_symbol
_atom_site_fract_x
_atom_site_fract_y
_atom_site_fract_z
Ta1 Ta 0.000 0.000 0.500
Nb1 Nb 0.500 0.500 0.500
B1 B 0.000 0.000 0.000

***

What are the relative energies? In meV per atom: (one) 2511; (two) 0.